1.
Below is ErNpTe2 after structural relaxation, with properties calculated at the GGA-PBE level.

Summary:
Its space group is R-3m. For the energy above the lowest structure with this stoichiometry, the calculation gives 421 meV per atom. As for the formation energy without anion corrections: -0.384 eV/atom. The density of states at the Fermi level comes out at 10.61 states/eV/f.u.

a b c (Å): 4.1385 4.1385 10.1063
angles (deg): 78.19 78.19 60.00
Sites, in units of the cell vectors:
Er  0.0000  0.0000  0.0000
Np  0.5000  0.5000  0.5000
Te  0.8994  0.8994  0.3018
Te  0.1006  0.1006  0.6982

***

2.
Below is ErNpTe2 after structural relaxation, with properties calculated at the GGA-PBE level.

Summary:
Its space group is P4/mmm. For the energy above the lowest structure with this stoichiometry, the calculation gives 0 meV per atom. As for the formation energy without anion corrections: -0.806 eV/atom. The density of states at the Fermi level comes out at 8.44 states/eV/f.u.

a b c (Å): 3.7477 3.7477 7.5890
angles (deg): 90.00 90.00 90.00
Sites, in units of the cell vectors:
Er  0.5000  0.5000  0.0000
Np  0.5000  0.5000  0.5000
Te  0.0000  0.0000  0.7544
Te  0.0000  0.0000  0.2456

***

3.
Below is ErNp2Te5 after structural relaxation, with properties calculated at the GGA-PBE level.

Summary:
Its space group is P4/mmm. As for the formation energy without anion corrections: -0.168 eV/atom. The density of states at the Fermi level comes out at 18.58 states/eV/f.u.

a b c (Å): 5.3346 7.3962 7.3962
angles (deg): 90.00 90.00 90.00
Sites, in units of the cell vectors:
Te  0.0000  0.2801  0.7199
Te  0.0000  0.7199  0.7199
Te  0.5000  0.0000  0.0000
Te  0.0000  0.7199  0.2801
Te  0.0000  0.2801  0.2801
Np  0.5000  0.0000  0.5000
Np  0.5000  0.5000  0.0000
Er  0.0000  0.0000  0.0000

***

4.
Below is Er3NpTe6 after structural relaxation, with properties calculated at the GGA-PBE level.

Summary:
Its space group is P2_1/m. As for the formation energy without anion corrections: -1.176 eV/atom. The density of states at the Fermi level comes out at 6.68 states/eV/f.u.

a b c (Å): 4.3343 12.4405 12.7171
angles (deg): 109.42 90.00 90.00
Sites, in units of the cell vectors:
Te  0.7500  0.1151  0.4648
Te  0.7500  0.9160  0.1003
Te  0.7500  0.4830  0.6181
Te  0.2500  0.2551  0.7215
Te  0.7500  0.3917  0.0614
Te  0.2500  0.6083  0.9386
Te  0.2500  0.1940  0.2497
Te  0.7500  0.8060  0.7503
Te  0.2500  0.0840  0.8997
Te  0.2500  0.5170  0.3819
Te  0.7500  0.7449  0.2785
Te  0.2500  0.8849  0.5352
Np  0.7500  0.0470  0.6950
Np  0.2500  0.9530  0.3050
Er  0.2500  0.5665  0.1645
Er  0.7500  0.4335  0.8355
Er  0.7500  0.1537  0.0794
Er  0.2500  0.8463  0.9206
Er  0.2500  0.3180  0.4980
Er  0.7500  0.6820  0.5020

***

5.
Below is Er3NpTl4Te8 after structural relaxation, with properties calculated at the GGA-PBE level.

Summary:
Its space group is R-3m. As for the formation energy without anion corrections: -0.912 eV/atom. The density of states at the Fermi level comes out at 6.77 states/eV/f.u.

a b c (Å): 8.8913 9.6491 8.8918
angles (deg): 117.44 120.00 90.00
Sites, in units of the cell vectors:
Te  0.2404  0.7128  0.4809
Te  0.7596  0.2872  0.0276
Te  0.2404  0.7128  0.9724
Te  0.7320  0.7128  0.9724
Te  0.7370  0.7109  0.4740
Te  0.2680  0.2872  0.0276
Te  0.2630  0.2891  0.5260
Te  0.7596  0.2872  0.5191
Np  0.0000  0.5000  0.0000
Tl  0.0000  0.0000  0.0000
Tl  0.5000  0.0000  0.0000
Tl  0.5000  0.0000  0.5000
Tl  0.0000  0.0000  0.5000
Er  0.5000  0.5000  0.0000
Er  0.5000  0.5000  0.5000
Er  0.0000  0.5000  0.5000

***

6.
Below is ErNp2Tl3Te6 after structural relaxation, with properties calculated at the GGA-PBE level.

Summary:
Its space group is C2/m. As for the formation energy without anion corrections: -0.713 eV/atom. The density of states at the Fermi level comes out at 19.38 states/eV/f.u.

a b c (Å): 7.7433 7.7433 8.5837
angles (deg): 98.64 98.64 119.99
Sites, in units of the cell vectors:
Te  0.2574  0.2574  0.7857
Te  0.6000  0.9290  0.7868
Te  0.9290  0.6000  0.7868
Te  0.4000  0.0710  0.2132
Te  0.0710  0.4000  0.2132
Te  0.7426  0.7426  0.2143
Tl  0.5000  0.5000  0.5000
Tl  0.1677  0.8323  0.5000
Tl  0.8323  0.1677  0.5000
Np  0.3335  0.6665  0.0000
Np  0.6665  0.3335  0.0000
Er  0.0000  0.0000  0.0000

***

7.
Below is ErNp3Tl3Te8 after structural relaxation, with properties calculated at the GGA-PBE level.

Summary:
Its space group is R-3m. As for the formation energy without anion corrections: -0.696 eV/atom. The density of states at the Fermi level comes out at 27.01 states/eV/f.u.

a b c (Å): 8.8581 8.8623 9.6842
angles (deg): 117.22 90.00 120.02
Sites, in units of the cell vectors:
Te  0.7384  0.9750  0.7118
Te  0.2621  0.5241  0.2859
Te  0.7379  0.4759  0.7141
Te  0.7631  0.0251  0.2884
Te  0.2369  0.4735  0.7117
Te  0.2616  0.0250  0.2882
Te  0.2369  0.9749  0.7116
Te  0.7631  0.5265  0.2883
Tl  0.0000  0.0000  0.0000
Tl  0.0000  0.5000  0.0000
Tl  0.5000  0.5000  0.0000
Np  0.5000  0.0000  0.5000
Np  0.0000  0.5000  0.5000
Np  0.5000  0.5000  0.5000
Er  0.0000  0.0000  0.5000

***

8.
Below is ErTh2Np after structural relaxation, with properties calculated at the GGA-PBE level.

Summary:
Its formation enthalpy at 0 K is 245.8 meV per atom. Its space group is R-3m. The density of states at the Fermi level comes out at 8.93 states/eV/f.u.

a b c (Å): 3.5047 3.5047 11.2652
angles (deg): 81.05 81.05 60.00
Sites, in units of the cell vectors:
Er  0.0000  0.0000  0.0000
Th  0.2460  0.2460  0.2619
Th  0.7540  0.7540  0.7381
Np  0.5000  0.5000  0.5000

***

9.
Below is ErTmNp after structural relaxation, with properties calculated at the GGA-PBE level.

Summary:
Its formation enthalpy at 0 K is 217.5 meV per atom. Its space group is C2/m. The density of states at the Fermi level comes out at 5.73 states/eV/f.u.

a b c (Å): 3.5231 5.6890 8.5428
angles (deg): 99.88 101.90 90.00
Sites, in units of the cell vectors:
Tm  0.5665  0.7915  0.1331
Tm  0.4335  0.2085  0.8669
Er  0.1189  0.3181  0.2378
Er  0.8811  0.6819  0.7622
Np  0.7614  0.1441  0.5229
Np  0.2386  0.8559  0.4771

***

10.
Below is Er2TmNp after structural relaxation, with properties calculated at the GGA-PBE level.

Summary:
Its formation enthalpy at 0 K is 447.0 meV per atom. Its space group is R-3m. The density of states at the Fermi level comes out at 9.47 states/eV/f.u.

a b c (Å): 3.3394 3.3394 12.2922
angles (deg): 82.19 82.19 60.00
Sites, in units of the cell vectors:
Np  0.0000  0.0000  0.0000
Er  0.0893  0.0893  0.7322
Er  0.9107  0.9107  0.2678
Tm  0.5000  0.5000  0.5000

***

11.
Below is ErNpZn4 after structural relaxation, with properties calculated at the GGA-PBE level.

Summary:
Its formation enthalpy at 0 K is -82.0 meV per atom. Its space group is F-43m. The density of states at the Fermi level comes out at 7.34 states/eV/f.u.

a b c (Å): 5.4349 5.4349 5.4349
angles (deg): 60.00 60.00 60.00
Sites, in units of the cell vectors:
Zn  0.1250  0.6250  0.6250
Zn  0.6250  0.1250  0.6250
Zn  0.6250  0.6250  0.6250
Zn  0.6250  0.6250  0.1250
Er  0.2500  0.2500  0.2500
Np  0.0000  0.0000  0.0000

***

12.
Below is Er2NpZn after structural relaxation, with properties calculated at the GGA-PBE level.

Summary:
Its formation enthalpy at 0 K is 110.6 meV per atom. Its space group is P4/mmm. The density of states at the Fermi level comes out at 10.53 states/eV/f.u.

a b c (Å): 3.3558 3.3558 8.7939
angles (deg): 90.00 90.00 90.00
Sites, in units of the cell vectors:
Er  0.0000  0.0000  0.7190
Er  0.0000  0.0000  0.2810
Zn  0.5000  0.5000  0.5000
Np  0.5000  0.5000  0.0000